Record 1
8
Lattice="-5.036 -1.231 -2.435 -1.683 -2.623 4.806 -4.728 1.222 2.425" Properties=species:S:1:pos:R:3 comment="MgB2Cl | the Alexandria database | GGA-PBE | optimized geometry" e_tot_ev_per_atom=-2.74 sg="I-42d (122)" e_form_raw_ev_per_atom=1.46 m_tot_mub_per_fu=0.23 pbc="T T T"
Mg -3.360 -1.927 1.185
Mg -4.886 -1.664 4.208
B -4.770 -0.848 -0.426
B -2.634 -1.432 3.416
B -5.989 -0.409 2.488
B -9.502 -2.575 4.112
Cl 0.000 0.000 0.000
Cl -6.562 -0.968 0.587

=====

Record 2
5
Lattice="4.008 0.000 0.000 0.000 4.008 0.000 0.000 0.000 4.008" Properties=species:S:1:pos:R:3 comment="MgB3Cl | the Alexandria database | GGA-PBE | optimized geometry" e_tot_ev_per_atom=-2.56 sg="Pm-3m (221)" e_form_raw_ev_per_atom=2.13 m_tot_mub_per_fu=0.00 pbc="T T T"
Mg 2.004 2.004 2.004
B 0.000 2.004 0.000
B 0.000 0.000 2.004
B 2.004 0.000 0.000
Cl 0.000 0.000 0.000

=====

The relative energy among the computed polymorphs results, record by record, are as follows: 0.0; 0.0 meV/atom.